Rb2SiHgO | PBE | optimized geometry

Unit cell a=6.771 b=4.662 c=6.771 alpha=90.00 beta=90.00 gamma=90.00
Fractional positions:
O1 0.500 0.500 0.500
Si1 0.000 0.500 0.000
Hg1 0.000 0.000 0.000
Rb1 0.000 0.000 0.500
Rb2 0.500 0.000 0.000

Output
* E_form (uncorrected): 0.403 eV/atom
* DOS at the Fermi energy: 30.641 states/eV/f.u.
* calculated volume: 42.75 Å³/atom